# VAuO2

A relaxed structure of VAuO2 (PBE+U, Alexandria).

Its crystal system is triclinic. For the density of states at the Fermi level, the calculation gives 2.237 states/eV/cell. The total energy comes out at -6.320 eV/atom.

It has space group P-1 (No. 2), with a = 2.877 Å, b = 2.877 Å, c = 14.962 Å, α = 95.36°, β = 90.09° and γ = 119.99°. The distinct sites, in fractional coordinates, are V at (0.226, 0.474, 0.178), Au at (0.029, 0.046, 0.588), O at (0.081, 0.141, 0.742) and O at (0.131, 0.240, 0.894).